# Tm3TcTe (PBE-GGA, optimized geometry)
# - Calculated total energy: -5.9322 eV/atom
# - E_form (uncorrected): -0.5478 eV/atom
# - Mass density: 9.4 Mg/m³
data_Tm3TcTe
_chemical_formula_sum 'Tm12 Tc4 Te4'
_cell_length_a 11.972
_cell_length_b 4.286
_cell_length_c 11.381
_cell_angle_alpha 90.00
_cell_angle_beta 117.20
_cell_angle_gamma 90.00
_space_group_name_H-M_alt 'C 1 2/m 1'
_space_group_IT_number 12
_space_group_name_Hall '-C 2y'
loop_
_atom_site_label
_atom_site_fract_x
_atom_site_fract_y
_atom_site_fract_z
Tm1 0.035 0.000 0.361
Tm2 0.126 0.500 0.165
Tm3 0.175 0.500 0.880
Tc1 0.045 0.000 0.920
Te1 0.174 0.500 0.603



# Zn2CuSe (PBE-GGA, optimized geometry)
# - Calculated total energy: -2.3966 eV/atom
# - E_form (uncorrected): 0.1355 eV/atom
# - Mass density: 7.0 Mg/m³
data_Zn2CuSe
_chemical_formula_sum 'Zn4 Cu2 Se2'
_cell_length_a 3.802
_cell_length_b 3.812
_cell_length_c 8.921
_cell_angle_alpha 90.00
_cell_angle_beta 90.00
_cell_angle_gamma 90.00
_space_group_name_H-M_alt 'I m m m'
_space_group_IT_number 71
_space_group_name_Hall '-I 2 2'
loop_
_atom_site_label
_atom_site_fract_x
_atom_site_fract_y
_atom_site_fract_z
Zn1 0.000 0.000 0.250
Cu1 0.000 0.500 0.000
Se1 0.000 0.500 0.500



# Pr6Nd2Tm3Tl (PBE-GGA, optimized geometry)
# - Calculated total energy: -4.5224 eV/atom
# - E_form: -23 meV per atom
# - Mass density: 7.7 Mg/m³
data_Pr6Nd2Tm3Tl
_chemical_formula_sum 'Pr12 Nd4 Tm6 Tl2'
_cell_length_a 6.241
_cell_length_b 10.834
_cell_length_c 11.952
_cell_angle_alpha 90.00
_cell_angle_beta 100.08
_cell_angle_gamma 90.00
_space_group_name_H-M_alt 'C 1 2/m 1'
_space_group_IT_number 12
_space_group_name_Hall '-C 2y'
loop_
_atom_site_label
_atom_site_fract_x
_atom_site_fract_y
_atom_site_fract_z
Pr1 0.242 0.000 0.246
Pr2 0.248 0.163 0.753
Nd1 0.000 0.334 0.500
Tm1 0.000 0.167 0.000
Tm2 0.000 0.500 0.000
Tl1 0.000 0.000 0.500



# LuNiRh (PBE-GGA, optimized geometry)
# - Calculated total energy: -6.2814 eV/atom
# - E_form: -397 meV per atom
# - Mass density: 11.3 Mg/m³
data_LuNiRh
_chemical_formula_sum 'Lu2 Ni2 Rh2'
_cell_length_a 3.309
_cell_length_b 3.309
_cell_length_c 9.019
_cell_angle_alpha 90.00
_cell_angle_beta 90.00
_cell_angle_gamma 90.00
_space_group_name_H-M_alt 'I 4 m m'
_space_group_IT_number 107
_space_group_name_Hall 'I 4 -2'
loop_
_atom_site_label
_atom_site_fract_x
_atom_site_fract_y
_atom_site_fract_z
Lu1 0.000 0.000 0.000
Ni1 0.000 0.000 0.680
Rh1 0.000 0.000 0.319



The records above give, respectively, N(E_F) values of 13.716 2.274 26.567 9.705 states/eV per cell.
The records above give, respectively, calculated volume values of 26.0 16.2 33.2 16.5 A^3/atom.